The following is a GGA-PBEsol calculation of crystalline Al8Hg at its relaxed geometry, from Alexandria via LeMat-Bulk.

Properties
magnetization: 0.00 μB/atom
E_form: 0.05 eV/atom

Lattice parameters (Å, degrees): 8.677 8.677 4.034 90.00 90.00 90.00
Space group I4/mmm (No. 139)
Inequivalent atoms, fractional coordinates:
Al: 0.000 0.338 0.000
Al: 0.171 0.171 0.500
Hg: 0.000 0.000 0.000